# 1
DFT (PBE) results for an optimized crystal structure of ScFeCo2.

Geometry as POSCAR:
```
ScFeCo2
1.0
2.984 0.000 0.000
0.000 2.984 0.000
0.000 0.000 6.070
Sc Fe Co
1 1 2
direct
0.000 0.000 0.000
0.500 0.500 0.710
0.000 0.000 0.497
0.500 0.500 0.277
```

Output
Total moment   5.16 μB/f.u.
Theoretical density   6.72 Mg/m³
Total DFT energy (no corrections)   -7.262 eV per atom
Symmetry   No. 99
E_form   -0.010 eV/atom

***

# 2
DFT (PBE) results for an optimized crystal structure of ScFeCo2.

Geometry as POSCAR:
```
ScFeCo2
1.0
2.735 0.000 0.000
0.000 4.043 0.000
-1.198 0.000 4.842
Sc Fe Co
1 1 2
direct
0.000 0.000 0.000
0.278 0.500 0.707
0.501 0.000 0.501
0.719 0.500 0.254
```

Output
Total moment   4.92 μB/f.u.
Theoretical density   6.78 Mg/m³
Total DFT energy (no corrections)   -7.233 eV per atom
Symmetry   No. 6
E_form   0.019 eV/atom

***

# 3
DFT (PBE) results for an optimized crystal structure of ScFeCo2.

Geometry as POSCAR:
```
ScFeCo2
1.0
3.717 0.000 0.000
0.000 3.717 0.000
0.000 0.000 17.121
Sc Fe Co
4 4 8
direct
0.000 0.000 0.000
0.000 0.500 0.250
0.500 0.000 0.750
0.500 0.500 0.500
0.000 0.000 0.500
0.000 0.500 0.750
0.500 0.000 0.250
0.500 0.500 0.000
0.180 0.250 0.625
0.250 0.680 0.875
0.250 0.820 0.375
0.320 0.250 0.125
0.680 0.750 0.125
0.750 0.180 0.375
0.750 0.320 0.875
0.820 0.750 0.625
```

Output
Total moment   4.62 μB/f.u.
Theoretical density   6.14 Mg/m³
Total DFT energy (no corrections)   -6.884 eV per atom
Symmetry   No. 122
E_form   0.367 eV/atom

***

# 4
DFT (PBE) results for an optimized crystal structure of ScFe2Co.

Geometry as POSCAR:
```
ScFe2Co
1.0
4.811 0.000 0.000
0.000 5.849 0.000
0.000 0.000 4.181
Sc Fe Co
2 4 2
direct
0.000 0.000 0.000
0.500 0.500 0.000
0.000 0.296 0.500
0.000 0.704 0.500
0.500 0.204 0.500
0.500 0.796 0.500
0.000 0.500 0.000
0.500 0.000 0.000
```

Output
Total moment   5.57 μB/f.u.
Theoretical density   6.08 Mg/m³
Total DFT energy (no corrections)   -7.305 eV per atom
Symmetry   No. 65
E_form   0.286 eV/atom

***

# 5
DFT (PBE) results for an optimized crystal structure of ScFe2Co.

Geometry as POSCAR:
```
ScFe2Co
1.0
4.064 0.000 0.000
0.000 4.064 0.000
0.000 0.000 3.224
Sc Fe Co
1 2 1
direct
0.000 0.000 0.000
0.000 0.500 0.500
0.500 0.000 0.500
0.500 0.500 0.000
```

Output
Total moment   5.41 μB/f.u.
Theoretical density   6.72 Mg/m³
Total DFT energy (no corrections)   -7.576 eV per atom
Symmetry   No. 123
E_form   0.015 eV/atom

***

# 6
DFT (PBE) results for an optimized crystal structure of ScFe2Co.

Geometry as POSCAR:
```
ScFe2Co
1.0
6.800 0.000 0.000
0.000 6.800 0.000
0.000 0.000 4.764
Sc Fe Co
4 8 4
direct
0.000 0.000 0.000
0.000 0.500 0.250
0.500 0.000 0.750
0.500 0.500 0.500
0.196 0.250 0.625
0.250 0.696 0.875
0.250 0.804 0.375
0.304 0.250 0.125
0.696 0.750 0.125
0.750 0.196 0.375
0.750 0.304 0.875
0.804 0.750 0.625
0.000 0.000 0.500
0.000 0.500 0.750
0.500 0.000 0.250
0.500 0.500 0.000
```

Output
Total moment   0.00 μB/f.u.
Theoretical density   6.50 Mg/m³
Total DFT energy (no corrections)   -7.115 eV per atom
Symmetry   No. 122
E_form   0.476 eV/atom

***

# 7
DFT (PBE) results for an optimized crystal structure of ScFe4Co.

Geometry as POSCAR:
```
ScFe4Co
1.0
0.000 3.396 3.396
3.396 0.000 3.396
3.396 3.396 0.000
Sc Fe Co
1 4 1
direct
0.000 0.000 0.000
0.376 0.376 0.376
0.376 0.376 0.873
0.376 0.873 0.376
0.873 0.376 0.376
0.750 0.750 0.750
```

Output
Total moment   10.07 μB/f.u.
Theoretical density   6.94 Mg/m³
Total DFT energy (no corrections)   -7.939 eV per atom
Symmetry   No. 216
E_form   -0.058 eV/atom

***

# 8
DFT (PBE) results for an optimized crystal structure of Sc2FeCo.

Geometry as POSCAR:
```
Sc2FeCo
1.0
3.675 0.000 0.000
0.000 3.815 0.000
0.000 0.000 9.700
Sc Fe Co
4 2 2
direct
0.000 0.000 0.000
0.000 0.500 0.500
0.500 0.000 0.296
0.500 0.500 0.796
0.500 0.000 0.586
0.500 0.500 0.086
0.000 0.000 0.713
0.000 0.500 0.213
```

Output
Total moment   1.44 μB/f.u.
Theoretical density   5.00 Mg/m³
Total DFT energy (no corrections)   -7.212 eV per atom
Symmetry   No. 38
E_form   -0.154 eV/atom

***

Question: Which value of total DFT energy (no corrections) does entry 2 give?
Answer: -7.233 eV per atom